Sr4ScTc: optimized geometry, PBE.

Properties
formation enthalpy at 0 K	1.185	eV/atom
total moment	1.24	μB/f.u.
E_tot	-65.3	eV/cell

Geometry as CIF:
```
data_Sr4ScTc
_chemical_formula_sum 'Sr16 Sc4 Tc4'
_space_group_name_H-M_alt 'F -4 3 m'
_space_group_IT_number 216
_space_group_name_Hall 'F -4 2 3'
_cell_length_a 9.7842
_cell_length_b 9.7842
_cell_length_c 9.7842
_cell_angle_alpha 90.00
_cell_angle_beta 90.00
_cell_angle_gamma 90.00
loop_
_atom_site_label
_atom_site_fract_x
_atom_site_fract_y
_atom_site_fract_z
Sr1 0.1247 0.1247 0.1247
Sc1 0.0000 0.0000 0.5000
Tc1 0.2500 0.2500 0.7500
```